Lu4Zr2Bi3C3 after structural relaxation, computed with PBE.

a b c (Å): 6.129 6.129 15.424
angles (deg): 101.55 101.55 60.01
Fractional positions:
Lu 0.033 0.191 0.085
Lu 0.133 0.305 0.415
Lu 0.191 0.033 0.585
Lu 0.305 0.133 0.915
Lu 0.695 0.867 0.085
Lu 0.809 0.967 0.415
Lu 0.867 0.695 0.585
Lu 0.967 0.809 0.915
Zr 0.356 0.526 0.079
Zr 0.474 0.644 0.421
Zr 0.526 0.356 0.579
Zr 0.644 0.474 0.921
Bi 0.092 0.908 0.250
Bi 0.262 0.415 0.751
Bi 0.415 0.262 0.251
Bi 0.585 0.738 0.749
Bi 0.738 0.585 0.249
Bi 0.908 0.092 0.750
C 0.000 0.500 0.000
C 0.181 0.660 0.500
C 0.340 0.819 0.000
C 0.500 0.000 0.500
C 0.660 0.181 0.000
C 0.819 0.340 0.500

Output
E, eV/atom: -6.880

MgZr4BiC2 after structural relaxation, computed with PBE.

a b c (Å): 3.402 3.402 15.241
angles (deg): 90.00 90.00 120.00
Fractional positions:
Mg 0.000 0.000 0.000
Zr 0.000 0.000 0.336
Zr 0.000 0.000 0.664
Zr 0.667 0.333 0.175
Zr 0.667 0.333 0.825
Bi 0.667 0.333 0.500
C 0.333 0.667 0.255
C 0.333 0.667 0.745

Output
E, eV/atom: -7.822

BiMo2C after structural relaxation, computed with PBE.

a b c (Å): 3.243 3.243 14.259
angles (deg): 91.86 91.86 120.04
Fractional positions:
Bi 0.119 0.881 0.750
Bi 0.881 0.119 0.250
Mo 0.189 0.353 0.575
Mo 0.353 0.189 0.075
Mo 0.647 0.811 0.925
Mo 0.811 0.647 0.425
C 0.000 0.500 0.000
C 0.500 0.000 0.500

Output
E, eV/atom: -8.498
Offset from the most stable computed form, eV/atom: 0.000